Compound: Pd4Pt5Rh
Source: the Alexandria database
Functional: PBE
Structure: optimized geometry Values from VASP.

The structure in Quantum ESPRESSO input format:
```
&SYSTEM
  ibrav = 0, nat = 10, ntyp = 3
/
ATOMIC_SPECIES
Pd 106.42 Pd.upf
Pt 195.08 Pt.upf
Rh 102.91 Rh.upf
ATOMIC_POSITIONS angstrom
Pd 2.604 -2.897 0.406
Pt 7.775 -11.589 1.450
Pt 2.474 -5.694 0.624
Pd 10.571 -11.757 1.647
Pt 5.124 -8.641 1.037
Pt -0.190 -2.730 0.209
Pd 5.263 -5.853 0.820
Pd 7.913 -8.800 1.233
Rh 0.000 0.000 0.000
Pt 10.439 -14.552 1.865
CELL_PARAMETERS angstrom
-1.592 -1.156 1.967
-1.335 -1.473 -1.946
13.176 -14.654 2.053
```

Crystal system ... tetragonal
E_tot ... -5.87 eV/atom
Fermi-level density of states ... 23.3 states/eV per cell
Calculated formation energy ... -0.035 eV/atom

Compound: CsHoMoN3
Source: the Alexandria database
Functional: PBE
Structure: optimized geometry Values from VASP.

The structure in Quantum ESPRESSO input format:
```
&SYSTEM
  ibrav = 0, nat = 12, ntyp = 4
/
ATOMIC_SPECIES
N 14.01 N.upf
Cs 132.91 Cs.upf
Ho 164.93 Ho.upf
Mo 95.94 Mo.upf
ATOMIC_POSITIONS angstrom
N -3.392 -1.990 5.072
N -0.190 -5.271 0.596
Cs -0.743 -2.548 -0.639
N -2.523 -5.119 3.056
Ho -0.122 -4.223 2.992
N -0.315 -6.082 4.462
Cs -2.838 -4.713 6.306
Mo -1.709 -6.973 3.416
Mo -1.873 -0.288 2.252
N -1.059 -2.142 2.612
Ho -3.460 -3.037 2.675
N -3.266 -1.179 1.205
CELL_PARAMETERS angstrom
-2.621 -1.615 -2.387
4.692 -5.062 1.452
-5.653 -0.583 6.602
```

Crystal system ... monoclinic
E_tot ... -7.39 eV/atom
E_form (uncorrected) ... -0.5169 eV/atom

Compound: CuSbTeN2
Source: the Alexandria database
Functional: PBE
Structure: optimized geometry Values from VASP.

The structure in Quantum ESPRESSO input format:
```
&SYSTEM
  ibrav = 0, nat = 5, ntyp = 4
/
ATOMIC_SPECIES
N 14.01 N.upf
Te 127.60 Te.upf
Cu 63.55 Cu.upf
Sb 121.76 Sb.upf
ATOMIC_POSITIONS angstrom
N 0.000 1.975 0.000
Te 0.000 0.000 3.246
Cu 1.975 1.975 3.246
Sb 0.000 0.000 0.000
N 1.975 0.000 0.000
CELL_PARAMETERS angstrom
3.951 0.000 0.000
0.000 3.951 0.000
0.000 0.000 6.491
```

Crystal system ... tetragonal
E_tot ... -4.31 eV/atom
Fermi-level density of states ... 2.8 states/eV per cell
E_form (uncorrected) ... 1.2932 eV/atom
Relative energy among the computed polymorphs ... 0.000 eV per atom

Compound: FeCoPCl2
Source: the Alexandria database
Functional: PBE
Structure: optimized geometry Values from VASP.

The structure in Quantum ESPRESSO input format:
```
&SYSTEM
  ibrav = 0, nat = 5, ntyp = 4
/
ATOMIC_SPECIES
Co 58.93 Co.upf
Cl 35.45 Cl.upf
P 30.97 P.upf
Fe 55.84 Fe.upf
ATOMIC_POSITIONS angstrom
Co -2.559 -0.280 3.036
Cl -2.238 0.689 -0.017
P 0.294 1.002 1.946
Fe 0.000 0.000 0.000
Cl -0.615 -1.970 1.107
CELL_PARAMETERS angstrom
-4.477 1.378 -0.033
-1.229 -3.941 2.214
0.588 2.003 3.891
```

Crystal system ... tetragonal
E_tot ... -4.27 eV/atom
Fermi-level density of states ... 9.2 states/eV per cell
E_form (uncorrected) ... 0.6615 eV/atom
Relative energy among the computed polymorphs ... 0.132 eV per atom

Compound: Dy2MnZn
Source: the Alexandria database
Functional: PBE
Structure: optimized geometry Values from VASP.

The structure in Quantum ESPRESSO input format:
```
&SYSTEM
  ibrav = 0, nat = 4, ntyp = 3
/
ATOMIC_SPECIES
Mn 54.94 Mn.upf
Dy 162.50 Dy.upf
Zn 65.41 Zn.upf
ATOMIC_POSITIONS angstrom
Mn 0.000 0.000 0.000
Dy 2.504 1.446 1.022
Zn 5.008 2.891 2.044
Dy 7.512 4.337 3.067
CELL_PARAMETERS angstrom
5.008 0.000 0.000
2.504 4.337 0.000
2.504 1.446 4.089
```

Crystal system ... cubic
E_tot ... -4.96 eV/atom
Fermi-level density of states ... 4.9 states/eV per cell
Calculated formation energy ... -0.047 eV/atom
Relative energy among the computed polymorphs ... 0.031 eV per atom

Compound: K4Mo
Source: the Alexandria database
Functional: PBE
Structure: optimized geometry Values from VASP.

The structure in Quantum ESPRESSO input format:
```
&SYSTEM
  ibrav = 0, nat = 5, ntyp = 2
/
ATOMIC_SPECIES
K 39.10 K.upf
Mo 95.94 Mo.upf
ATOMIC_POSITIONS angstrom
K -0.051 -4.394 -2.303
K 2.235 -0.522 -4.399
K 0.000 0.000 0.000
K -2.717 -0.618 -4.105
Mo -0.266 -2.767 -5.403
CELL_PARAMETERS angstrom
-0.431 3.255 -6.201
4.901 -4.298 -2.596
-5.003 -4.491 -2.009
```

Crystal system ... cubic
E_tot ... -2.05 eV/atom
Fermi-level density of states ... 3.3 states/eV per cell
Calculated formation energy ... 0.991 eV/atom
Relative energy among the computed polymorphs ... 0.061 eV per atom

Compound: NaMgGa
Source: the Alexandria database
Functional: PBE
Structure: optimized geometry Values from VASP.

The structure in Quantum ESPRESSO input format:
```
&SYSTEM
  ibrav = 0, nat = 6, ntyp = 3
/
ATOMIC_SPECIES
Mg 24.30 Mg.upf
Na 22.99 Na.upf
Ga 69.72 Ga.upf
ATOMIC_POSITIONS angstrom
Mg 1.910 3.720 1.668
Na -0.283 2.848 -1.395
Ga 3.277 1.168 1.600
Mg 0.406 0.791 1.532
Ga -0.961 3.343 1.600
Na 2.480 1.430 -1.395
CELL_PARAMETERS angstrom
5.335 -0.036 -1.395
-3.139 4.315 -1.395
0.119 0.233 5.990
```

Crystal system ... orthorhombic
E_tot ... -2.05 eV/atom
Fermi-level density of states ... 1.7 states/eV per cell
Calculated formation energy ... -0.071 eV/atom
Relative energy among the computed polymorphs ... 0.000 eV per atom

Compound: Zn2SbMo
Source: the Alexandria database
Functional: PBE
Structure: optimized geometry Values from VASP.

The structure in Quantum ESPRESSO input format:
```
&SYSTEM
  ibrav = 0, nat = 4, ntyp = 3
/
ATOMIC_SPECIES
Sb 121.76 Sb.upf
Mo 95.94 Mo.upf
Zn 65.41 Zn.upf
ATOMIC_POSITIONS angstrom
Sb 1.806 1.806 4.017
Mo 1.806 1.806 1.339
Zn 0.000 0.000 0.119
Zn 0.000 0.000 2.559
CELL_PARAMETERS angstrom
3.612 0.000 0.000
0.000 3.613 0.000
0.000 0.000 5.356
```

Crystal system ... tetragonal
E_tot ... -4.13 eV/atom
Fermi-level density of states ... 3.1 states/eV per cell
E_form (uncorrected) ... 0.2457 eV/atom

Compound: AlCuN3
Source: the Alexandria database
Functional: PBE
Structure: optimized geometry Values from VASP.

The structure in Quantum ESPRESSO input format:
```
&SYSTEM
  ibrav = 0, nat = 5, ntyp = 3
/
ATOMIC_SPECIES
N 14.01 N.upf
Cu 63.55 Cu.upf
Al 26.98 Al.upf
ATOMIC_POSITIONS angstrom
N -0.382 -1.468 -1.061
Cu 0.000 0.000 0.000
N -1.008 1.073 -1.122
Al -2.895 -0.740 -1.163
N -1.505 -0.346 1.021
CELL_PARAMETERS angstrom
-2.015 2.147 -2.244
-0.764 -2.936 -2.122
-3.010 -0.692 2.041
```

Crystal system ... cubic
E_tot ... -4.82 eV/atom
Fermi-level density of states ... 4.3 states/eV per cell
E_form (uncorrected) ... 1.7413 eV/atom

Compound: La2ScH
Source: the Alexandria database
Functional: PBE
Structure: optimized geometry Values from VASP.

The structure in Quantum ESPRESSO input format:
```
&SYSTEM
  ibrav = 0, nat = 4, ntyp = 3
/
ATOMIC_SPECIES
La 138.91 La.upf
H 1.01 H.upf
Sc 44.96 Sc.upf
ATOMIC_POSITIONS angstrom
La 1.797 1.037 1.604
La 5.391 3.112 7.265
H 0.000 0.000 0.000
Sc 3.594 2.075 4.434
CELL_PARAMETERS angstrom
3.594 0.000 0.000
1.797 3.112 0.000
1.797 1.037 8.869
```

Crystal system ... trigonal
E_tot ... -4.98 eV/atom
Fermi-level density of states ... 4.3 states/eV per cell
Relative energy among the computed polymorphs ... 0.000 eV per atom

Compound: Tb4NdTm2
Source: the Alexandria database
Functional: PBE
Structure: optimized geometry Values from VASP.

The structure in Quantum ESPRESSO input format:
```
&SYSTEM
  ibrav = 0, nat = 7, ntyp = 3
/
ATOMIC_SPECIES
Nd 144.24 Nd.upf
Tb 158.93 Tb.upf
Tm 168.93 Tm.upf
ATOMIC_POSITIONS angstrom
Nd 0.000 0.000 0.000
Tb -0.132 5.128 2.514
Tb 1.253 6.532 -0.628
Tm -0.262 3.328 -0.265
Tm 1.962 3.913 5.017
Tb 1.832 2.114 2.238
Tb 0.448 0.709 5.380
CELL_PARAMETERS angstrom
3.504 0.250 -0.325
-0.879 8.026 -3.329
-0.924 -1.034 8.406
```

Crystal system ... monoclinic
E_tot ... -4.57 eV/atom
Fermi-level density of states ... 10.4 states/eV per cell
Calculated formation energy ... 0.032 eV/atom
Relative energy among the computed polymorphs ... 0.000 eV per atom

Compound: LiCaGa4Pt2
Source: the Alexandria database
Functional: PBE
Structure: optimized geometry Values from VASP.

The structure in Quantum ESPRESSO input format:
```
&SYSTEM
  ibrav = 0, nat = 8, ntyp = 4
/
ATOMIC_SPECIES
Pt 195.08 Pt.upf
Li 6.94 Li.upf
Ga 69.72 Ga.upf
Ca 40.08 Ca.upf
ATOMIC_POSITIONS angstrom
Pt 2.154 1.244 2.638
Li 4.308 2.487 4.404
Ga 4.308 2.487 7.001
Ga 6.462 3.731 3.435
Ga 2.154 1.244 5.372
Ga 4.308 2.487 1.806
Pt 6.462 3.731 6.170
Ca 0.000 0.000 0.000
CELL_PARAMETERS angstrom
4.308 0.000 0.000
2.154 3.731 0.000
2.154 1.244 8.807
```

Crystal system ... trigonal
E_tot ... -4.17 eV/atom
Fermi-level density of states ... 3.5 states/eV per cell
Calculated formation energy ... -0.655 eV/atom